Entry 1:
This record from Alexandria describes crystalline Na3PmHg7 at its relaxed geometry. The functional is PBE.

Results
**Crystal system**: orthorhombic
**Energy of formation**: -2.43 eV per formula unit

abc: 3.584 25.433 13.198
angles: 90.00 90.00 90.00
Space group Cmcm (No. 63)
Symmetry-distinct sites (fractional):
Na (0.000, 0.146, 0.082) (multiplicity 8)
Na (0.000, 0.170, 0.750) (multiplicity 4)
Pm (0.000, 0.018, 0.750) (multiplicity 4)
Hg (0.000, 0.280, 0.078) (multiplicity 8)
Hg (0.000, 0.295, 0.750) (multiplicity 4)
Hg (0.000, 0.404, 0.111) (multiplicity 8)
Hg (0.000, 0.459, 0.587) (multiplicity 8)

Entry 2:
This record from Alexandria describes crystalline Na2PmHg6 at its relaxed geometry. The functional is PBE.

Results
**Crystal system**: hexagonal
**Energy of formation**: -2.44 eV per formula unit

abc: 8.8306 8.8306 3.3749
angles: 90.00 90.00 120.00
Space group P6/mmm (No. 191)
Symmetry-distinct sites (fractional):
Na (0.3333, 0.6667, 0.0000) (multiplicity 2)
Pm (0.0000, 0.0000, 0.0000) (multiplicity 1)
Hg (0.0000, 0.3360, 0.5000) (multiplicity 6)

Entry 3:
This record from Alexandria describes crystalline Na2PmHg3 at its relaxed geometry. The functional is PBE.

Results
**Crystal system**: orthorhombic
**Relative energy among the computed polymorphs**: 0.0233 eV per atom
**Energy of formation**: -1.78 eV per formula unit

abc: 5.281 15.873 7.575
angles: 90.00 90.00 90.00
Space group Cmmm (No. 65)
Symmetry-distinct sites (fractional):
Na (0.000, 0.000, 0.000) (multiplicity 2)
Na (0.000, 0.000, 0.500) (multiplicity 2)
Na (0.000, 0.334, 0.000) (multiplicity 4)
Pm (0.000, 0.336, 0.500) (multiplicity 4)
Hg (0.000, 0.169, 0.256) (multiplicity 8)
Hg (0.000, 0.500, 0.249) (multiplicity 4)

Entry 4:
This record from Alexandria describes crystalline NaPm4Hg5 at its relaxed geometry. The functional is PBE.

Results
**Crystal system**: tetragonal
**Energy of formation**: -4.22 eV per formula unit

abc: 3.788 3.788 19.142
angles: 90.00 90.00 90.00
Space group P4/mmm (No. 123)
Symmetry-distinct sites (fractional):
Na (0.000, 0.000, 0.000) (multiplicity 1)
Pm (0.000, 0.000, 0.199) (multiplicity 2)
Pm (0.000, 0.000, 0.400) (multiplicity 2)
Hg (0.500, 0.500, 0.103) (multiplicity 2)
Hg (0.500, 0.500, 0.300) (multiplicity 2)
Hg (0.500, 0.500, 0.500) (multiplicity 1)

Entry 5:
This record from Alexandria describes crystalline NaPm2Hg4 at its relaxed geometry. The functional is PBE.

Results
**Crystal system**: tetragonal
**Relative energy among the computed polymorphs**: 0.2316 eV per atom
**Energy of formation**: -0.31 eV per formula unit

abc: 5.329 5.329 15.640
angles: 90.00 90.00 90.00
Space group I4/mmm (No. 139)
Symmetry-distinct sites (fractional):
Na (0.000, 0.000, 0.000) (multiplicity 2)
Pm (0.000, 0.000, 0.386) (multiplicity 4)
Hg (0.000, 0.000, 0.188) (multiplicity 4)
Hg (0.000, 0.500, 0.000) (multiplicity 4)

Entry 6:
This record from Alexandria describes crystalline NaPm2Hg9 at its relaxed geometry. The functional is PBE.

Results
**Crystal system**: tetragonal
**Energy of formation**: -3.65 eV per formula unit

abc: 4.675 4.675 13.952
angles: 90.00 90.00 90.00
Space group P4/mmm (No. 123)
Symmetry-distinct sites (fractional):
Na (0.000, 0.000, 0.000) (multiplicity 1)
Pm (0.000, 0.000, 0.328) (multiplicity 2)
Hg (0.000, 0.500, 0.165) (multiplicity 4)
Hg (0.000, 0.500, 0.500) (multiplicity 2)
Hg (0.500, 0.500, 0.000) (multiplicity 1)
Hg (0.500, 0.500, 0.338) (multiplicity 2)

Entry 7:
This record from Alexandria describes crystalline NaPmHg4 at its relaxed geometry. The functional is PBE.

Results
**Crystal system**: cubic
**Relative energy among the computed polymorphs**: 0.1507 eV per atom
**Energy of formation**: -0.96 eV per formula unit

abc: 8.506 8.506 8.506
angles: 90.00 90.00 90.00
Space group F-43m (No. 216)
Symmetry-distinct sites (fractional):
Na (0.000, 0.000, 0.000) (multiplicity 4)
Pm (0.250, 0.250, 0.250) (multiplicity 4)
Hg (0.125, 0.125, 0.625) (multiplicity 16)

Entry 8:
This record from Alexandria describes crystalline NaPm2Hg at its relaxed geometry. The functional is PBE.

Results
**Crystal system**: cubic
**Relative energy among the computed polymorphs**: 0.0150 eV per atom
**Energy of formation**: -0.29 eV per formula unit

abc: 7.737 7.737 7.737
angles: 90.00 90.00 90.00
Space group Fm-3m (No. 225)
Symmetry-distinct sites (fractional):
Na (0.000, 0.000, 0.000) (multiplicity 4)
Pm (0.250, 0.250, 0.250) (multiplicity 8)
Hg (0.000, 0.000, 0.500) (multiplicity 4)

Entry 9:
This record from Alexandria describes crystalline NaPmHg at its relaxed geometry. The functional is PBE.

Results
**Crystal system**: trigonal
**Relative energy among the computed polymorphs**: 0.0297 eV per atom
**Energy of formation**: -0.32 eV per formula unit

abc: 5.2488 5.2488 3.4180
angles: 90.00 90.00 120.00
Space group P3m1 (No. 156)
Symmetry-distinct sites (fractional):
Na (0.0000, 0.0000, 0.0000) (multiplicity 1)
Pm (0.3333, 0.6667, 0.5027) (multiplicity 1)
Hg (0.6667, 0.3333, 0.0064) (multiplicity 1)

Entry 10:
This record from Alexandria describes crystalline NaPm2Hg at its relaxed geometry. The functional is PBE.

Results
**Crystal system**: tetragonal
**Relative energy among the computed polymorphs**: 0.0000 eV per atom
**Energy of formation**: -0.35 eV per formula unit

abc: 3.835 3.835 8.456
angles: 90.00 90.00 90.00
Space group P4/mmm (No. 123)
Symmetry-distinct sites (fractional):
Na (0.000, 0.000, 0.000) (multiplicity 1)
Pm (0.500, 0.500, 0.287) (multiplicity 2)
Hg (0.000, 0.000, 0.500) (multiplicity 1)

Entry 11:
This record from Alexandria describes crystalline NaPm4Hg4 at its relaxed geometry. The functional is PBE.

Results
**Crystal system**: tetragonal
**Energy of formation**: -2.38 eV per formula unit

abc: 11.718 11.718 3.914
angles: 90.00 90.00 90.00
Space group I4/m (No. 87)
Symmetry-distinct sites (fractional):
Na (0.000, 0.000, 0.000) (multiplicity 2)
Pm (0.027, 0.691, 0.500) (multiplicity 8)
Hg (0.160, 0.199, 0.000) (multiplicity 8)

Entry 12:
This record from Alexandria describes crystalline NaPmHg at its relaxed geometry. The functional is PBE.

Results
**Crystal system**: orthorhombic
**Relative energy among the computed polymorphs**: 0.0151 eV per atom
**Energy of formation**: -0.36 eV per formula unit

abc: 3.454 5.512 18.705
angles: 90.00 90.00 90.00
Space group Immm (No. 71)
Symmetry-distinct sites (fractional):
Na (0.000, 0.249, 0.000) (multiplicity 4)
Pm (0.000, 0.500, 0.322) (multiplicity 4)
Hg (0.000, 0.500, 0.152) (multiplicity 4)

Entry 13:
This record from Alexandria describes crystalline NaPmHg4 at its relaxed geometry. The functional is PBE.

Results
**Crystal system**: monoclinic
**Relative energy among the computed polymorphs**: 0.0000 eV per atom
**Energy of formation**: -1.86 eV per formula unit

abc: 10.542 3.985 7.814
angles: 90.00 111.84 90.00
Space group C2/m (No. 12)
Symmetry-distinct sites (fractional):
Na (0.000, 0.000, 0.000) (multiplicity 2)
Pm (0.000, 0.000, 0.500) (multiplicity 2)
Hg (0.165, 0.500, 0.328) (multiplicity 4)
Hg (0.171, 0.500, 0.838) (multiplicity 4)

Let's list magnetization in order: 0.0; 0.0; 0.0; 1.1; 0.0; 0.0; 0.0; 3.4; 0.0; 0.7; 0.0; 0.0; 0.0 Bohr magnetons per cell.
Let's list VASP energy in order: -53.00; -11.64; -40.31; -26.05; -24.68; -17.18; -32.94; -45.65; -6.69; -11.47; -47.81; -26.94; -18.28 eV for the cell shown.
Let's list DOS(E_F) in order: 19.54; 5.67; 15.69; 9.24; 10.42; 6.93; 17.93; 19.48; 2.81; 4.64; 16.78; 9.17; 4.20 states/eV/cell.